Entry 1:
Zr2TiFeSi: optimized geometry, GGA-PBE.

Summary:
The value obtained for the total energy is -34.80 eV per cell. As for the magnetization: 0.9 μB per cell. The uncorrected formation energy comes out at 0.8145 eV/atom. The calculation puts the density at 5.15 g/cm3.

a = 4.970 Å, b = 4.970 Å, c = 4.104 Å
α = 90.00°, β = 90.00°, γ = 90.00°
Fractional coordinates of all 5 atoms:
Zr (0.000, 0.500, 0.000)
Zr (0.500, 0.000, 0.000)
Ti (0.000, 0.000, 0.000)
Fe (0.000, 0.000, 0.500)
Si (0.500, 0.500, 0.500)



Entry 2:
TcSeF2: optimized geometry, GGA-PBE.

Summary:
The value obtained for the total energy is -20.03 eV per cell. The value obtained for the distance to the lowest polymorph of the same formula is 3.43 kcal/mol of atoms. As for the magnetization: 0.8 μB per cell. The uncorrected formation energy comes out at -0.6082 eV/atom. The calculation puts the density at 5.25 g/cm3.

a = 10.048 Å, b = 10.048 Å, c = 10.048 Å
α = 16.10°, β = 16.10°, γ = 16.10°
Fractional coordinates of all 4 atoms:
Tc (0.000, 0.000, 0.000)
Se (0.500, 0.500, 0.500)
F (0.383, 0.383, 0.383)
F (0.617, 0.617, 0.617)



Entry 3:
Sn2PdAu2: optimized geometry, GGA-PBE.

Summary:
The value obtained for the total energy is -41.79 eV per cell. The value obtained for the distance to the lowest polymorph of the same formula is 0.00 kcal/mol of atoms. The calculated formation energy comes out at -0.2288 eV per atom. As for the magnetization: 0.0 μB per cell. The calculation puts the density at 12.00 g/cm3.

a = 5.663 Å, b = 5.663 Å, c = 7.215 Å
α = 107.31°, β = 107.31°, γ = 71.59°
Fractional coordinates of all 10 atoms:
Sn (0.065, 0.260, 0.150)
Sn (0.260, 0.065, 0.650)
Sn (0.740, 0.935, 0.350)
Sn (0.935, 0.740, 0.850)
Pd (0.228, 0.772, 0.250)
Pd (0.772, 0.228, 0.750)
Au (0.269, 0.508, 0.548)
Au (0.492, 0.731, 0.952)
Au (0.508, 0.269, 0.048)
Au (0.731, 0.492, 0.452)



Entry 4:
LaPm4Sc: optimized geometry, GGA-PBE.

Summary:
The value obtained for the total energy is -30.03 eV per cell. The value obtained for the distance to the lowest polymorph of the same formula is 0.00 kcal/mol of atoms. The calculated formation energy comes out at 0.0389 eV per atom. As for the magnetization: 0.0 μB per cell. The calculation puts the density at 6.41 g/cm3.

a = 6.152 Å, b = 3.628 Å, c = 8.862 Å
α = 90.00°, β = 90.70°, γ = 90.00°
Fractional coordinates of all 6 atoms:
La (0.000, 0.000, 0.000)
Pm (0.166, 0.500, 0.336)
Pm (0.339, 0.000, 0.677)
Pm (0.661, 0.000, 0.323)
Pm (0.834, 0.500, 0.664)
Sc (0.500, 0.500, 0.000)



Entry 5:
Zn2GeAu: optimized geometry, GGA-PBE.

Summary:
The value obtained for the total energy is -10.21 eV per cell. The calculated formation energy comes out at 0.0570 eV per atom. As for the magnetization: 0.0 μB per cell. The calculation puts the density at 9.34 g/cm3.

a = 9.600 Å, b = 9.600 Å, c = 9.600 Å
α = 17.67°, β = 17.67°, γ = 17.67°
Fractional coordinates of all 4 atoms:
Zn (0.090, 0.090, 0.090)
Zn (0.910, 0.910, 0.910)
Ge (0.000, 0.000, 0.000)
Au (0.500, 0.500, 0.500)



Entry 6:
HfTc2As: optimized geometry, GGA-PBE.

Summary:
The value obtained for the total energy is -36.49 eV per cell. The calculated formation energy comes out at -0.2897 eV per atom. As for the magnetization: 0.0 μB per cell. The calculation puts the density at 11.85 g/cm3.

a = 4.366 Å, b = 4.366 Å, c = 3.303 Å
α = 90.00°, β = 90.00°, γ = 90.00°
Fractional coordinates of all 4 atoms:
Hf (0.000, 0.000, 0.000)
Tc (0.000, 0.500, 0.500)
Tc (0.500, 0.000, 0.500)
As (0.500, 0.500, 0.000)



Entry 7:
K2RbCoBr6: optimized geometry, GGA-PBE.

Summary:
The value obtained for the total energy is -63.03 eV per cell. As for the magnetization: 0.3 μB per cell. The uncorrected formation energy comes out at -1.1207 eV/atom. The calculation puts the density at 3.41 g/cm3.

a = 7.698 Å, b = 8.080 Å, c = 13.355 Å
α = 90.00°, β = 124.53°, γ = 90.00°
Fractional coordinates of all 20 atoms:
K (0.222, 0.075, 0.249)
K (0.222, 0.425, 0.749)
K (0.778, 0.575, 0.251)
K (0.778, 0.925, 0.751)
Rb (0.500, 0.000, 0.000)
Rb (0.500, 0.500, 0.500)
Co (0.000, 0.000, 0.500)
Co (0.000, 0.500, 0.000)
Br (0.079, 0.247, 0.931)
Br (0.079, 0.253, 0.431)
Br (0.202, 0.662, 0.946)
Br (0.202, 0.838, 0.446)
Br (0.319, 0.042, 0.703)
Br (0.319, 0.458, 0.203)
Br (0.681, 0.542, 0.797)
Br (0.681, 0.958, 0.297)
Br (0.798, 0.162, 0.554)
Br (0.798, 0.338, 0.054)
Br (0.921, 0.747, 0.569)
Br (0.921, 0.753, 0.069)



Entry 8:
LaPr2S3: optimized geometry, GGA-PBE.

Summary:
The value obtained for the total energy is -39.30 eV per cell. As for the magnetization: 0.0 μB per cell. The uncorrected formation energy comes out at -2.0724 eV/atom. The calculation puts the density at 5.77 g/cm3.

a = 7.136 Å, b = 7.136 Å, c = 7.136 Å
α = 146.38°, β = 131.79°, γ = 60.06°
Fractional coordinates of all 6 atoms:
La (0.000, 0.000, 0.000)
Pr (0.332, 0.332, 0.000)
Pr (0.668, 0.668, 0.000)
S (0.167, 0.667, 0.500)
S (0.500, 0.000, 0.500)
S (0.833, 0.333, 0.500)



Entry 9:
BeAlFe14: optimized geometry, GGA-PBE.

Summary:
The value obtained for the total energy is -126.65 eV per cell. The calculated formation energy comes out at -0.0439 eV per atom. As for the magnetization: 31.9 μB per cell. The calculation puts the density at 7.42 g/cm3.

a = 5.707 Å, b = 5.707 Å, c = 5.615 Å
α = 90.00°, β = 90.00°, γ = 90.00°
Fractional coordinates of all 16 atoms:
Be (0.000, 0.000, 0.000)
Al (0.500, 0.500, 0.000)
Fe (0.000, 0.000, 0.500)
Fe (0.000, 0.500, 0.000)
Fe (0.000, 0.500, 0.500)
Fe (0.244, 0.244, 0.250)
Fe (0.244, 0.244, 0.750)
Fe (0.244, 0.756, 0.250)
Fe (0.244, 0.756, 0.750)
Fe (0.500, 0.000, 0.000)
Fe (0.500, 0.000, 0.500)
Fe (0.500, 0.500, 0.500)
Fe (0.756, 0.244, 0.250)
Fe (0.756, 0.244, 0.750)
Fe (0.756, 0.756, 0.250)
Fe (0.756, 0.756, 0.750)



Entry 10:
GeHCl6: optimized geometry, GGA-PBE.

Summary:
The value obtained for the total energy is -22.81 eV per cell. As for the magnetization: 1.0 μB per cell. The calculation puts the density at 2.09 g/cm3.

a = 6.316 Å, b = 6.432 Å, c = 6.832 Å
α = 66.03°, β = 65.11°, γ = 72.27°
Fractional coordinates of all 8 atoms:
Ge (0.000, 0.000, 0.000)
H (0.000, 0.500, 0.000)
Cl (0.189, 0.666, 0.870)
Cl (0.200, 0.217, 0.659)
Cl (0.294, 0.922, 0.157)
Cl (0.706, 0.078, 0.843)
Cl (0.800, 0.783, 0.341)
Cl (0.811, 0.334, 0.130)



Entry 11:
Cs6SeI3: optimized geometry, GGA-PBE.

Summary:
The value obtained for the total energy is -50.43 eV per cell. As for the magnetization: 0.0 μB per cell. The uncorrected formation energy comes out at -1.1958 eV/atom. The calculation puts the density at 3.22 g/cm3.

a = 9.419 Å, b = 10.153 Å, c = 15.839 Å
α = 90.00°, β = 121.21°, γ = 90.00°
Fractional coordinates of all 20 atoms:
Cs (0.084, 0.060, 0.239)
Cs (0.084, 0.440, 0.739)
Cs (0.249, 0.712, 0.084)
Cs (0.249, 0.788, 0.584)
Cs (0.359, 0.177, 0.062)
Cs (0.359, 0.323, 0.562)
Cs (0.641, 0.677, 0.438)
Cs (0.641, 0.823, 0.938)
Cs (0.751, 0.212, 0.416)
Cs (0.751, 0.288, 0.916)
Cs (0.916, 0.560, 0.261)
Cs (0.916, 0.940, 0.761)
Se (0.000, 0.000, 0.000)
Se (0.000, 0.500, 0.500)
I (0.316, 0.096, 0.770)
I (0.316, 0.404, 0.270)
I (0.500, 0.000, 0.500)
I (0.500, 0.500, 0.000)
I (0.684, 0.596, 0.730)
I (0.684, 0.904, 0.230)



Entry 12:
SrTeIrPb2: optimized geometry, GGA-PBE.

Summary:
The value obtained for the total energy is -22.73 eV per cell. As for the magnetization: 0.0 μB per cell. The uncorrected formation energy comes out at -0.3260 eV/atom. The calculation puts the density at 8.36 g/cm3.

a = 5.224 Å, b = 5.224 Å, c = 5.983 Å
α = 90.00°, β = 90.00°, γ = 90.00°
Fractional coordinates of all 5 atoms:
Sr (0.000, 0.000, 0.000)
Te (0.500, 0.500, 0.000)
Ir (0.000, 0.000, 0.500)
Pb (0.000, 0.500, 0.500)
Pb (0.500, 0.000, 0.500)



Entry 13:
V2Bi2Au: optimized geometry, GGA-PBE.

Summary:
The value obtained for the total energy is -55.70 eV per cell. The calculated formation energy comes out at 0.2849 eV per atom. As for the magnetization: 3.3 μB per cell. The calculation puts the density at 11.58 g/cm3.

a = 7.187 Å, b = 7.187 Å, c = 3.981 Å
α = 90.00°, β = 90.00°, γ = 90.00°
Fractional coordinates of all 10 atoms:
V (0.122, 0.378, 0.000)
V (0.378, 0.878, 0.000)
V (0.622, 0.122, 0.000)
V (0.878, 0.622, 0.000)
Bi (0.172, 0.672, 0.500)
Bi (0.328, 0.172, 0.500)
Bi (0.672, 0.828, 0.500)
Bi (0.828, 0.328, 0.500)
Au (0.000, 0.000, 0.000)
Au (0.500, 0.500, 0.000)



Entry 14:
SnPI3: optimized geometry, GGA-PBE.

Summary:
The value obtained for the total energy is -12.73 eV per cell. The value obtained for the distance to the lowest polymorph of the same formula is 0.00 kcal/mol of atoms. As for the magnetization: 0.4 μB per cell. The uncorrected formation energy comes out at 0.2671 eV/atom. The calculation puts the density at 5.17 g/cm3.

a = 5.542 Å, b = 5.542 Å, c = 5.542 Å
α = 90.00°, β = 90.00°, γ = 90.00°
Fractional coordinates of all 5 atoms:
Sn (0.000, 0.000, 0.000)
P (0.500, 0.500, 0.500)
I (0.000, 0.500, 0.500)
I (0.500, 0.000, 0.500)
I (0.500, 0.500, 0.000)



Entry 15:
Tb5Y3Tm4: optimized geometry, GGA-PBE.

Summary:
The value obtained for the total energy is -57.38 eV per cell. The value obtained for the distance to the lowest polymorph of the same formula is 5.35 kcal/mol of atoms. The calculated formation energy comes out at 0.2542 eV per atom. As for the magnetization: 0.5 μB per cell. The calculation puts the density at 7.46 g/cm3.

a = 8.563 Å, b = 8.563 Å, c = 9.264 Å
α = 115.38°, β = 115.38°, γ = 39.73°
Fractional coordinates of all 12 atoms:
Tb (0.000, 0.000, 0.000)
Tb (0.326, 0.326, 0.613)
Tb (0.425, 0.425, 0.300)
Tb (0.575, 0.575, 0.700)
Tb (0.674, 0.674, 0.387)
Y (0.208, 0.208, 0.229)
Y (0.500, 0.500, 0.000)
Y (0.792, 0.792, 0.771)
Tm (0.080, 0.080, 0.440)
Tm (0.214, 0.214, 0.877)
Tm (0.786, 0.786, 0.123)
Tm (0.920, 0.920, 0.560)



Entry 16:
SiNi2Rh: optimized geometry, GGA-PBE.

Summary:
The value obtained for the total energy is -25.76 eV per cell. As for the magnetization: 0.3 μB per cell. The uncorrected formation energy comes out at -0.3553 eV/atom. The calculation puts the density at 8.68 g/cm3.

a = 2.885 Å, b = 2.885 Å, c = 5.711 Å
α = 90.00°, β = 90.00°, γ = 90.00°
Fractional coordinates of all 4 atoms:
Si (0.000, 0.000, 0.000)
Ni (0.000, 0.000, 0.454)
Ni (0.500, 0.500, 0.212)
Rh (0.500, 0.500, 0.748)



Entry 17:
Ce5Ga2Bi: optimized geometry, GGA-PBE.

Summary:
The value obtained for the total energy is -85.86 eV per cell. The calculated formation energy comes out at -0.4160 eV per atom. As for the magnetization: 11.7 μB per cell. The calculation puts the density at 7.86 g/cm3.

a = 8.781 Å, b = 8.781 Å, c = 8.781 Å
α = 124.37°, β = 124.37°, γ = 82.58°
Fractional coordinates of all 16 atoms:
Ce (0.000, 0.000, 0.000)
Ce (0.020, 0.520, 0.839)
Ce (0.181, 0.020, 0.500)
Ce (0.319, 0.819, 0.839)
Ce (0.480, 0.319, 0.500)
Ce (0.500, 0.500, 0.000)
Ce (0.520, 0.681, 0.500)
Ce (0.681, 0.181, 0.161)
Ce (0.819, 0.980, 0.500)
Ce (0.980, 0.480, 0.161)
Ga (0.125, 0.375, 0.500)
Ga (0.375, 0.875, 0.250)
Ga (0.625, 0.125, 0.750)
Ga (0.875, 0.625, 0.500)
Bi (0.250, 0.250, 0.000)
Bi (0.750, 0.750, 0.000)



Entry 18:
CoIr3Rh3: optimized geometry, GGA-PBE.

Summary:
The value obtained for the total energy is -106.71 eV per cell. The value obtained for the distance to the lowest polymorph of the same formula is 1.50 kcal/mol of atoms. The calculated formation energy comes out at 0.3410 eV per atom. As for the magnetization: 0.0 μB per cell. The calculation puts the density at 14.37 g/cm3.

a = 6.671 Å, b = 6.671 Å, c = 6.671 Å
α = 61.77°, β = 61.77°, γ = 61.77°
Fractional coordinates of all 14 atoms:
Co (0.118, 0.118, 0.118)
Co (0.882, 0.882, 0.882)
Ir (0.106, 0.776, 0.494)
Ir (0.224, 0.506, 0.894)
Ir (0.494, 0.106, 0.776)
Ir (0.506, 0.894, 0.224)
Ir (0.776, 0.494, 0.106)
Ir (0.894, 0.224, 0.506)
Rh (0.058, 0.362, 0.704)
Rh (0.296, 0.942, 0.638)
Rh (0.362, 0.704, 0.058)
Rh (0.638, 0.296, 0.942)
Rh (0.704, 0.058, 0.362)
Rh (0.942, 0.638, 0.296)



Entry 19:
MgTa2Os: optimized geometry, GGA-PBE.

Summary:
The value obtained for the total energy is -35.76 eV per cell. The calculated formation energy comes out at 0.1927 eV per atom. As for the magnetization: 0.8 μB per cell. The calculation puts the density at 14.14 g/cm3.

a = 4.574 Å, b = 4.574 Å, c = 4.574 Å
α = 60.00°, β = 60.00°, γ = 60.00°
Fractional coordinates of all 4 atoms:
Mg (0.000, 0.000, 0.000)
Ta (0.250, 0.250, 0.250)
Ta (0.500, 0.500, 0.500)
Os (0.750, 0.750, 0.750)



Entry 20:
Ac4Ga5Pt2: optimized geometry, GGA-PBE.

Summary:
The value obtained for the total energy is -50.93 eV per cell. The calculated formation energy comes out at -0.6616 eV per atom. As for the magnetization: 0.0 μB per cell. The calculation puts the density at 9.27 g/cm3.

a = 7.402 Å, b = 4.157 Å, c = 9.607 Å
α = 90.00°, β = 93.75°, γ = 90.00°
Fractional coordinates of all 11 atoms:
Ac (0.181, 0.000, 0.372)
Ac (0.248, 0.000, 0.935)
Ac (0.752, 0.000, 0.065)
Ac (0.819, 0.000, 0.628)
Ga (0.203, 0.500, 0.658)
Ga (0.448, 0.500, 0.202)
Ga (0.500, 0.500, 0.500)
Ga (0.552, 0.500, 0.798)
Ga (0.797, 0.500, 0.342)
Pt (0.076, 0.500, 0.145)
Pt (0.924, 0.500, 0.855)



Entry 21:
TlInBr2Cl: optimized geometry, GGA-PBE.

Summary:
The value obtained for the total energy is -14.32 eV per cell. As for the magnetization: 0.0 μB per cell. The uncorrected formation energy comes out at -0.8045 eV/atom. The calculation puts the density at 4.88 g/cm3.

a = 5.699 Å, b = 5.699 Å, c = 5.384 Å
α = 90.00°, β = 90.00°, γ = 90.00°
Fractional coordinates of all 5 atoms:
Tl (0.000, 0.000, 0.000)
In (0.500, 0.500, 0.500)
Br (0.000, 0.500, 0.500)
Br (0.500, 0.000, 0.500)
Cl (0.500, 0.500, 0.000)



Entry 22:
KLi2Ta: optimized geometry, GGA-PBE.

Summary:
The value obtained for the total energy is -11.72 eV per cell. The value obtained for the distance to the lowest polymorph of the same formula is 14.62 kcal/mol of atoms. The calculated formation energy comes out at 1.2652 eV per atom. As for the magnetization: 3.1 μB per cell. The calculation puts the density at 3.91 g/cm3.

a = 6.255 Å, b = 6.255 Å, c = 6.255 Å
α = 140.20°, β = 140.20°, γ = 57.56°
Fractional coordinates of all 4 atoms:
K (0.000, 0.000, 0.000)
Li (0.250, 0.750, 0.500)
Li (0.500, 0.500, 0.000)
Ta (0.750, 0.250, 0.500)



Entry 23:
NdSb2Pt: optimized geometry, GGA-PBE.

Summary:
The value obtained for the total energy is -19.88 eV per cell. As for the magnetization: 0.0 μB per cell. The uncorrected formation energy comes out at -0.2078 eV/atom. The calculation puts the density at 8.31 g/cm3.

a = 9.957 Å, b = 9.957 Å, c = 9.957 Å
α = 21.52°, β = 21.52°, γ = 21.52°
Fractional coordinates of all 4 atoms:
Nd (0.000, 0.000, 0.000)
Sb (0.110, 0.110, 0.110)
Sb (0.890, 0.890, 0.890)
Pt (0.500, 0.500, 0.500)



Entry 24:
KYCl2: optimized geometry, GGA-PBE.

Summary:
The value obtained for the total energy is -17.05 eV per cell. The value obtained for the distance to the lowest polymorph of the same formula is 0.63 kcal/mol of atoms. As for the magnetization: 0.0 μB per cell. The uncorrected formation energy comes out at -1.4480 eV/atom. The calculation puts the density at 3.26 g/cm3.

a = 8.762 Å, b = 8.762 Å, c = 8.762 Å
α = 24.46°, β = 24.46°, γ = 24.46°
Fractional coordinates of all 4 atoms:
K (0.000, 0.000, 0.000)
Y (0.500, 0.500, 0.500)
Cl (0.248, 0.248, 0.248)
Cl (0.752, 0.752, 0.752)